Entry 1:
Density functional theory data (PBE) for crystalline Pm4Sm3Y2 at its relaxed geometry.

a = 12.006 Å, b = 3.631 Å, c = 14.944 Å
α = 90.00°, β = 111.44°, γ = 90.00°
Space group C2/m (No. 12)
Unique sites:
Pm 0.167 0.000 0.167 x4
Pm 0.222 0.500 0.389 x4
Sm 0.000 0.500 0.500 x2
Sm 0.111 0.500 0.945 x4
Y 0.056 0.000 0.722 x4

## Properties
The value obtained for the calculated formation energy is 1 kJ per mole of atoms. Its total energy is -5.11 eV per atom. The value obtained for the energy above the most stable polymorph in this dataset is 0.00 eV/f.u. Its density of states at the Fermi level is 1.269 states/eV per atom.


Entry 2:
Density functional theory data (PBE) for crystalline Ni2PtBr at its relaxed geometry.

a = 6.186 Å, b = 6.186 Å, c = 6.186 Å
α = 90.00°, β = 90.00°, γ = 90.00°
Space group F-43m (No. 216)
Unique sites:
Ni 0.000 0.000 0.000 x4
Ni 0.250 0.250 0.250 x4
Pt 0.250 0.250 0.750 x4
Br 0.000 0.000 0.500 x4

## Properties
Its total energy is -4.13 eV per atom. The formation energy without anion corrections is 0.69 eV per atom. The value obtained for the energy above the most stable polymorph in this dataset is 1.91 eV/f.u. Its density of states at the Fermi level is 1.446 states/eV per atom.


Entry 3:
Density functional theory data (PBE) for crystalline Tb2Nd3Pb4 at its relaxed geometry.

a = 13.516 Å, b = 5.025 Å, c = 10.253 Å
α = 90.00°, β = 124.69°, γ = 90.00°
Space group C2/m (No. 12)
Unique sites:
Tb 0.146 0.000 0.323 x4
Nd 0.000 0.500 0.000 x2
Nd 0.148 0.000 0.701 x4
Pb 0.065 0.500 0.409 x4
Pb 0.170 0.000 0.033 x4

## Properties
The value obtained for the calculated formation energy is -43 kJ per mole of atoms. Its total energy is -4.71 eV per atom. The value obtained for the energy above the most stable polymorph in this dataset is 0.30 eV/f.u. Its density of states at the Fermi level is 0.743 states/eV per atom.


Entry 4:
Density functional theory data (PBE) for crystalline Ca2GaN at its relaxed geometry.

a = 7.165 Å, b = 7.165 Å, c = 7.351 Å
α = 90.00°, β = 90.00°, γ = 90.00°
Space group I-42d (No. 122)
Unique sites:
Ca 0.152 0.250 0.125 x8
Ga 0.000 0.000 0.500 x4
N 0.000 0.000 0.000 x4

## Properties
Its total energy is -4.15 eV per atom. The formation energy without anion corrections is -0.31 eV per atom. Its density of states at the Fermi level is 0.214 states/eV per atom.


Entry 5:
Density functional theory data (PBE) for crystalline Rb2CeTi2O7 at its relaxed geometry.

a = 3.909 Å, b = 3.909 Å, c = 22.721 Å
α = 90.00°, β = 90.00°, γ = 90.00°
Space group I4/mmm (No. 139)
Unique sites:
Rb 0.000 0.000 0.191 x4
Ce 0.000 0.000 0.000 x2
Ti 0.000 0.000 0.409 x4
O 0.000 0.000 0.330 x4
O 0.000 0.000 0.500 x2
O 0.000 0.500 0.074 x8

## Properties
Its total energy is -7.61 eV per atom. The formation energy without anion corrections is -2.75 eV per atom.


Entry 6:
Density functional theory data (PBE) for crystalline Ta2InW at its relaxed geometry.

a = 2.854 Å, b = 4.375 Å, c = 5.902 Å
α = 90.00°, β = 90.00°, γ = 90.00°
Space group Pmmm (No. 47)
Unique sites:
Ta 0.000 0.000 0.237 x2
In 0.500 0.500 0.500 x1
W 0.500 0.500 0.000 x1

## Properties
The value obtained for the calculated formation energy is 27 kJ per mole of atoms. Its total energy is -9.57 eV per atom. Its density of states at the Fermi level is 0.867 states/eV per atom.


Entry 7:
Density functional theory data (PBE) for crystalline AgH2Ir at its relaxed geometry.

a = 2.7707 Å, b = 2.7707 Å, c = 20.8712 Å
α = 90.00°, β = 90.00°, γ = 120.00°
Space group R-3m (No. 166, hexagonal axes)
Unique sites:
Ag 0.0000 0.0000 0.0000 x3
H 0.0000 0.0000 0.1200 x6
Ir 0.0000 0.0000 0.5000 x3

## Properties
Its total energy is -4.35 eV per atom. The value obtained for the energy above the most stable polymorph in this dataset is 0.00 eV/f.u. Its density of states at the Fermi level is 0.198 states/eV per atom.


Entry 8:
Density functional theory data (PBE) for crystalline Rb2TcBBr6 at its relaxed geometry.

a = 7.514 Å, b = 7.514 Å, c = 10.643 Å
α = 90.00°, β = 90.00°, γ = 90.00°
Space group I4/mmm (No. 139)
Unique sites:
Rb 0.000 0.500 0.250 x4
Tc 0.000 0.000 0.000 x2
B 0.000 0.000 0.500 x2
Br 0.000 0.000 0.248 x4
Br 0.250 0.250 0.000 x8

## Properties
Its total energy is -3.39 eV per atom. The formation energy without anion corrections is -0.49 eV per atom. Its density of states at the Fermi level is 0.149 states/eV per atom.


Entry 9:
Density functional theory data (PBE) for crystalline PmCuP2 at its relaxed geometry.

a = 3.787 Å, b = 3.787 Å, c = 9.977 Å
α = 90.00°, β = 90.00°, γ = 90.00°
Space group P4/nmm (No. 129, origin choice 2)
Unique sites:
Pm 0.250 0.250 0.233 x2
Cu 0.250 0.750 0.500 x2
P 0.250 0.250 0.647 x2
P 0.250 0.750 0.000 x2

## Properties
The value obtained for the calculated formation energy is -83 kJ per mole of atoms. Its total energy is -5.77 eV per atom. The value obtained for the energy above the most stable polymorph in this dataset is 0.04 eV/f.u. Its density of states at the Fermi level is 0.368 states/eV per atom.


Entry 10:
Density functional theory data (PBE) for crystalline Pr4DyY2 at its relaxed geometry.

a = 12.124 Å, b = 24.545 Å, c = 6.535 Å
α = 90.00°, β = 90.00°, γ = 90.00°
Space group Fdd2 (No. 43)
Unique sites:
Pr 0.051 0.430 0.000 x16
Pr 0.068 0.357 0.470 x16
Dy 0.000 0.000 0.007 x8
Y 0.025 0.284 0.948 x16

## Properties
The value obtained for the calculated formation energy is 6 kJ per mole of atoms. Its total energy is -5.18 eV per atom. The value obtained for the energy above the most stable polymorph in this dataset is 0.00 eV/f.u. Its density of states at the Fermi level is 1.563 states/eV per atom.


Entry 11:
Density functional theory data (PBE) for crystalline Sm3I7Br at its relaxed geometry.

a = 8.7743 Å, b = 8.7743 Å, c = 7.6675 Å
α = 90.00°, β = 90.00°, γ = 120.00°
Space group P3m1 (No. 156)
Unique sites:
Sm 0.0025 0.5012 0.0000 x3
I 0.1680 0.3360 0.7640 x3
I 0.3366 0.1683 0.2345 x3
I 0.6667 0.3333 0.7544 x1
Br 0.3333 0.6667 0.2103 x1

## Properties
Its total energy is -3.82 eV per atom. The formation energy without anion corrections is -1.40 eV per atom. Its density of states at the Fermi level is 0.519 states/eV per atom.


Entry 12:
Density functional theory data (PBE) for crystalline Rb2Tl5Bi3 at its relaxed geometry.

a = 13.923 Å, b = 15.419 Å, c = 7.331 Å
α = 90.00°, β = 90.00°, γ = 90.00°
Space group Ibam (No. 72)
Unique sites:
Rb 0.247 0.122 0.000 x8
Tl 0.000 0.254 0.250 x8
Tl 0.000 0.500 0.250 x4
Tl 0.132 0.126 0.500 x8
Bi 0.000 0.000 0.250 x4
Bi 0.137 0.378 0.000 x8

## Properties
The value obtained for the calculated formation energy is -13 kJ per mole of atoms. Its total energy is -2.68 eV per atom. Its density of states at the Fermi level is 0.561 states/eV per atom.


Entry 13:
Density functional theory data (PBE) for crystalline Ba2InTe5Pb at its relaxed geometry.

a = 4.676 Å, b = 21.350 Å, c = 13.745 Å
α = 90.00°, β = 90.00°, γ = 90.00°
Space group Cmc2_1 (No. 36)
Unique sites:
Ba 0.000 0.110 0.000 x4
Ba 0.000 0.122 0.627 x4
In 0.000 0.431 0.764 x4
Te 0.000 0.050 0.381 x4
Te 0.000 0.276 0.003 x4
Te 0.000 0.305 0.679 x4
Te 0.000 0.364 0.316 x4
Te 0.000 0.500 0.090 x4
Pb 0.000 0.224 0.345 x4

## Properties
Its total energy is -3.83 eV per atom. The formation energy without anion corrections is -0.94 eV per atom. Its density of states at the Fermi level is 0.530 states/eV per atom.


Entry 14:
Density functional theory data (PBE) for crystalline KLaHg2Br8 at its relaxed geometry.

a = 6.960 Å, b = 8.041 Å, c = 9.840 Å
α = 110.40°, β = 91.50°, γ = 97.55°
Space group P-1 (No. 2)
Unique sites:
K 0.000 0.000 0.000 x1
La 0.000 0.000 0.500 x1
Hg 0.436 0.262 0.804 x2
Br 0.174 0.803 0.229 x2
Br 0.227 0.876 0.688 x2
Br 0.321 0.316 0.572 x2
Br 0.404 0.300 0.070 x2

## Properties
Its total energy is -2.82 eV per atom. The formation energy without anion corrections is -1.16 eV per atom. Its density of states at the Fermi level is 0.000 states/eV per atom.


Entry 15:
Density functional theory data (PBE) for crystalline Rh2O3 at its relaxed geometry.

a = 8.100 Å, b = 3.007 Å, c = 9.067 Å
α = 90.00°, β = 90.00°, γ = 90.00°
Space group Pnma (No. 62)
Unique sites:
Rh 0.021 0.250 0.158 x4
Rh 0.171 0.250 0.533 x4
O 0.035 0.750 0.620 x4
O 0.139 0.250 0.954 x4
O 0.173 0.750 0.203 x4

## Properties
Its total energy is -6.45 eV per atom. The formation energy without anion corrections is -0.53 eV per atom.


Entry 16:
Density functional theory data (PBE) for crystalline CrRe2SI at its relaxed geometry.

a = 4.713 Å, b = 4.713 Å, c = 4.193 Å
α = 90.00°, β = 90.00°, γ = 90.00°
Space group P4/mmm (No. 123)
Unique sites:
Cr 0.000 0.000 0.000 x1
Re 0.000 0.500 0.000 x2
S 0.000 0.000 0.500 x1
I 0.500 0.500 0.500 x1

## Properties
Its total energy is -6.52 eV per atom. The formation energy without anion corrections is 1.52 eV per atom. Its density of states at the Fermi level is 1.256 states/eV per atom.


Entry 17:
Density functional theory data (PBE) for crystalline CeSmOs at its relaxed geometry.

a = 3.405 Å, b = 3.405 Å, c = 13.664 Å
α = 90.00°, β = 90.00°, γ = 90.00°
Space group I4mm (No. 107)
Unique sites:
Ce 0.000 0.000 0.000 x2
Sm 0.000 0.000 0.253 x2
Os 0.000 0.000 0.621 x2

## Properties
The value obtained for the calculated formation energy is -7 kJ per mole of atoms. Its total energy is -7.37 eV per atom. The value obtained for the energy above the most stable polymorph in this dataset is 0.17 eV/f.u. Its density of states at the Fermi level is 1.823 states/eV per atom.


Entry 18:
Density functional theory data (PBE) for crystalline BaRe2As at its relaxed geometry.

a = 5.866 Å, b = 11.348 Å, c = 2.836 Å
α = 90.00°, β = 118.23°, γ = 90.00°
Space group C2/m (No. 12)
Unique sites:
Ba 0.000 0.000 0.000 x2
Re 0.250 0.250 0.500 x4
As 0.000 0.500 0.000 x2

## Properties
The value obtained for the calculated formation energy is 119 kJ per mole of atoms. Its total energy is -6.64 eV per atom. Its density of states at the Fermi level is 1.014 states/eV per atom.


Entry 19:
Density functional theory data (PBE) for crystalline Y3ReN6 at its relaxed geometry.

a = 9.446 Å, b = 11.915 Å, c = 5.289 Å
α = 90.00°, β = 90.00°, γ = 90.00°
Space group Cmc2_1 (No. 36)
Unique sites:
Y 0.000 0.105 0.000 x4
Y 0.192 0.393 0.033 x8
Re 0.000 0.303 0.580 x4
N 0.000 0.292 0.234 x4
N 0.000 0.447 0.700 x4
N 0.153 0.238 0.730 x8
N 0.160 0.010 0.268 x8

## Properties
Its total energy is -9.01 eV per atom. The formation energy without anion corrections is -0.83 eV per atom. Its density of states at the Fermi level is 0.629 states/eV per atom.


Entry 20:
Density functional theory data (PBE) for crystalline Y5Sc4In4 at its relaxed geometry.

a = 12.160 Å, b = 12.160 Å, c = 4.801 Å
α = 90.00°, β = 90.00°, γ = 90.00°
Space group I4/m (No. 87)
Unique sites:
Y 0.000 0.000 0.000 x2
Y 0.111 0.807 0.500 x8
Sc 0.084 0.402 0.500 x8
In 0.082 0.246 0.000 x8

## Properties
The value obtained for the calculated formation energy is -32 kJ per mole of atoms. Its total energy is -5.61 eV per atom. Its density of states at the Fermi level is 0.939 states/eV per atom.